Record 1
# Cs3CO, optimized geometry, DFT PBE
# * energy relative to the elements, uncorrected: 406 meV per atom
data_Cs3CO
_chemical_formula_sum 'Cs3 C1 O1'
_cell_length_a 5.8341
_cell_length_b 5.8341
_cell_length_c 5.8341
_cell_angle_alpha 90.00
_cell_angle_beta 90.00
_cell_angle_gamma 90.00
_space_group_name_H-M_alt 'P 1'
_space_group_IT_number 1
_space_group_name_Hall 'P 1'
loop_
_atom_site_label
_atom_site_type_symbol
_atom_site_fract_x
_atom_site_fract_y
_atom_site_fract_z
Cs1 Cs 0.0000 0.0000 0.5000
Cs2 Cs 0.0000 0.5000 0.0000
Cs3 Cs 0.5000 0.0000 0.0000
C1 C 0.5000 0.5000 0.5000
O1 O 0.0000 0.0000 0.0000


Record 2
# SrTl4Cd2, optimized geometry, DFT PBE
# * energy relative to the lowest polymorph listed for this composition: 0 meV/atom
# * energy relative to the elements: -108 meV per atom
data_SrTl4Cd2
_chemical_formula_sum 'Sr1 Tl4 Cd2'
_cell_length_a 6.6477
_cell_length_b 6.6477
_cell_length_c 5.8537
_cell_angle_alpha 115.22
_cell_angle_beta 115.22
_cell_angle_gamma 87.08
_space_group_name_H-M_alt 'P 1'
_space_group_IT_number 1
_space_group_name_Hall 'P 1'
loop_
_atom_site_label
_atom_site_type_symbol
_atom_site_fract_x
_atom_site_fract_y
_atom_site_fract_z
Sr1 Sr 0.0000 0.0000 0.0000
Tl1 Tl 0.0130 0.3922 0.7025
Tl2 Tl 0.3922 0.0130 0.7025
Tl3 Tl 0.6078 0.9870 0.2975
Tl4 Tl 0.9870 0.6078 0.2975
Cd1 Cd 0.4930 0.4930 0.2500
Cd2 Cd 0.5070 0.5070 0.7500


Record 3
# La2TePt2, optimized geometry, DFT PBE
# * energy relative to the elements, uncorrected: -1252 meV per atom
# * energy relative to the lowest polymorph listed for this composition: 0 meV/atom
data_La2TePt2
_chemical_formula_sum 'La4 Te2 Pt4'
_cell_length_a 8.0292
_cell_length_b 8.0292
_cell_length_c 3.9328
_cell_angle_alpha 90.00
_cell_angle_beta 90.00
_cell_angle_gamma 90.00
_space_group_name_H-M_alt 'P 1'
_space_group_IT_number 1
_space_group_name_Hall 'P 1'
loop_
_atom_site_label
_atom_site_type_symbol
_atom_site_fract_x
_atom_site_fract_y
_atom_site_fract_z
La1 La 0.1769 0.3231 0.0000
La2 La 0.3231 0.8231 0.0000
La3 La 0.6769 0.1769 0.0000
La4 La 0.8231 0.6769 0.0000
Te1 Te 0.0000 0.0000 0.5000
Te2 Te 0.5000 0.5000 0.5000
Pt1 Pt 0.1226 0.6226 0.5000
Pt2 Pt 0.3774 0.1226 0.5000
Pt3 Pt 0.6226 0.8774 0.5000
Pt4 Pt 0.8774 0.3774 0.5000


Record 4
# TiTc3S, optimized geometry, DFT PBE
# * energy relative to the elements, uncorrected: 187 meV per atom
# * energy relative to the lowest polymorph listed for this composition: 0 meV/atom
data_TiTc3S
_chemical_formula_sum 'Ti1 Tc3 S1'
_cell_length_a 4.3254
_cell_length_b 4.3254
_cell_length_c 4.3254
_cell_angle_alpha 90.00
_cell_angle_beta 90.00
_cell_angle_gamma 90.00
_space_group_name_H-M_alt 'P 1'
_space_group_IT_number 1
_space_group_name_Hall 'P 1'
loop_
_atom_site_label
_atom_site_type_symbol
_atom_site_fract_x
_atom_site_fract_y
_atom_site_fract_z
Ti1 Ti 0.0000 0.0000 0.0000
Tc1 Tc 0.0000 0.5000 0.5000
Tc2 Tc 0.5000 0.0000 0.5000
Tc3 Tc 0.5000 0.5000 0.0000
S1 S 0.5000 0.5000 0.5000


Record 5
# ReNi3W, optimized geometry, DFT PBE
# * energy relative to the lowest polymorph listed for this composition: 0 meV/atom
# * energy relative to the elements: 1820 meV per atom
data_ReNi3W
_chemical_formula_sum 'Re1 Ni3 W1'
_cell_length_a 4.3754
_cell_length_b 4.3754
_cell_length_c 4.3754
_cell_angle_alpha 90.00
_cell_angle_beta 90.00
_cell_angle_gamma 90.00
_space_group_name_H-M_alt 'P 1'
_space_group_IT_number 1
_space_group_name_Hall 'P 1'
loop_
_atom_site_label
_atom_site_type_symbol
_atom_site_fract_x
_atom_site_fract_y
_atom_site_fract_z
Re1 Re 0.0000 0.0000 0.0000
Ni1 Ni 0.0000 0.0000 0.5000
Ni2 Ni 0.0000 0.5000 0.0000
Ni3 Ni 0.5000 0.0000 0.0000
W1 W 0.5000 0.5000 0.5000


Record 6
# ScTlCr2, optimized geometry, DFT PBE
# * energy relative to the elements: 232 meV per atom
data_ScTlCr2
_chemical_formula_sum 'Sc1 Tl1 Cr2'
_cell_length_a 4.7232
_cell_length_b 4.7232
_cell_length_c 4.7232
_cell_angle_alpha 60.00
_cell_angle_beta 60.00
_cell_angle_gamma 60.00
_space_group_name_H-M_alt 'P 1'
_space_group_IT_number 1
_space_group_name_Hall 'P 1'
loop_
_atom_site_label
_atom_site_type_symbol
_atom_site_fract_x
_atom_site_fract_y
_atom_site_fract_z
Sc1 Sc 0.0000 0.0000 0.0000
Tl1 Tl 0.7500 0.7500 0.7500
Cr1 Cr 0.2500 0.2500 0.2500
Cr2 Cr 0.5000 0.5000 0.5000


no.,N(E_F) (states/eV/f.u.)
1,2.4
2,2.6
3,1.5
4,2.6
5,5.0
6,1.6